The following is a PBE calculation of a relaxed structure of LaBe2TcRh, from the Alexandria database.

a b c (Å): 4.681 4.681 4.673
angles (deg): 90.00 90.00 90.00
Positions (direct):
La  0.000  0.000  0.000
Be  0.000  0.500  0.000
Be  0.500  0.000  0.000
Tc  0.500  0.500  0.500
Rh  0.000  0.000  0.500

- Calculated volume: 20.5 Å³/atom
- Formation energy from the elements: 2176 meV/atom
- Space group: P4/mmm
- Magnetization: 0.1 μB per formula unit